The following is a DFT calculation (PBE+U) of crystalline KMnOF2 at its relaxed geometry.

Cell and atoms, written as POSCAR:
```
KMnOF2
1.0
4.5635 0.0000 0.0000
0.0000 4.5635 0.0000
0.0000 0.0000 4.2574
K Mn O F
1 1 1 2
direct
0.0000 0.0000 0.0000
0.5000 0.5000 0.5000
0.0000 0.0000 0.5000
0.0000 0.5000 0.0000
0.5000 0.0000 0.0000
```

Output
The electronic total energy is -0.306 Ry per atom. The value obtained for the energy above the most stable polymorph in this dataset is 1530 meV/atom. The value obtained for the theoretical density is 2.77 g cm⁻³.